The following is a PBE-GGA calculation of a geometry-optimized Sm3Er2Al3 structure, from Alexandria via LeMat-Bulk.

* total magnetization: 0.000 μB per cell
* crystal system: orthorhombic
* energy: -4.5975 eV/atom
* mass density: 6.80 g/cm3

a = 3.699 Å, b = 5.250 Å, c = 21.785 Å
α = 90.00°, β = 90.00°, γ = 90.00°
Positions (direct):
Sm (0.000, 0.000, 0.000)
Sm (0.000, 0.500, 0.121)
Sm (0.000, 0.500, 0.879)
Sm (0.500, 0.000, 0.379)
Sm (0.500, 0.000, 0.621)
Sm (0.500, 0.500, 0.500)
Er (0.000, 0.000, 0.231)
Er (0.000, 0.000, 0.769)
Er (0.500, 0.500, 0.269)
Er (0.500, 0.500, 0.731)
Al (0.000, 0.000, 0.500)
Al (0.000, 0.500, 0.381)
Al (0.000, 0.500, 0.619)
Al (0.500, 0.000, 0.119)
Al (0.500, 0.000, 0.881)
Al (0.500, 0.500, 0.000)

=====

The following is a PBE-GGA calculation of a geometry-optimized SmEr3Al8 structure, from Alexandria via LeMat-Bulk.

* total magnetization: 0.000 μB per cell
* crystal system: trigonal
* energy: -4.5363 eV/atom
* mass density: 5.93 g/cm3

a = 9.657 Å, b = 9.657 Å, c = 9.657 Å
α = 33.39°, β = 33.39°, γ = 33.39°
Positions (direct):
Sm (0.000, 0.000, 0.000)
Er (0.125, 0.125, 0.125)
Er (0.500, 0.500, 0.500)
Er (0.624, 0.624, 0.624)
Al (0.062, 0.062, 0.561)
Al (0.062, 0.561, 0.062)
Al (0.064, 0.563, 0.563)
Al (0.312, 0.312, 0.312)
Al (0.561, 0.062, 0.062)
Al (0.563, 0.064, 0.563)
Al (0.563, 0.563, 0.064)
Al (0.813, 0.813, 0.813)

=====

The following is a PBE-GGA calculation of a geometry-optimized Sm4Er5Al structure, from Alexandria via LeMat-Bulk.

* total magnetization: 0.000 μB per cell
* crystal system: tetragonal
* energy: -4.4578 eV/atom
* mass density: 7.62 g/cm3

a = 8.024 Å, b = 8.024 Å, c = 8.024 Å
α = 97.14°, β = 97.14°, γ = 138.70°
Positions (direct):
Sm (0.000, 0.311, 0.311)
Sm (0.000, 0.689, 0.689)
Sm (0.311, 0.000, 0.311)
Sm (0.689, 0.000, 0.689)
Er (0.202, 0.202, 0.000)
Er (0.327, 0.327, 0.636)
Er (0.327, 0.691, 0.000)
Er (0.691, 0.327, 0.000)
Er (0.691, 0.691, 0.364)
Al (0.717, 0.717, 0.000)

=====

The following is a PBE-GGA calculation of a geometry-optimized Sm2Er3Al structure, from Alexandria via LeMat-Bulk.

* total magnetization: 0.000 μB per cell
* crystal system: orthorhombic
* energy: -4.5643 eV/atom
* mass density: 7.97 g/cm3

a = 4.793 Å, b = 14.894 Å, c = 4.844 Å
α = 90.00°, β = 90.00°, γ = 90.00°
Positions (direct):
Sm (0.000, 0.159, 0.000)
Sm (0.000, 0.841, 0.000)
Sm (0.500, 0.341, 0.000)
Sm (0.500, 0.659, 0.000)
Er (0.000, 0.000, 0.500)
Er (0.000, 0.337, 0.500)
Er (0.000, 0.663, 0.500)
Er (0.500, 0.163, 0.500)
Er (0.500, 0.500, 0.500)
Er (0.500, 0.837, 0.500)
Al (0.000, 0.500, 0.000)
Al (0.500, 0.000, 0.000)

=====

The following is a PBE-GGA calculation of a geometry-optimized Sm2ErAl9 structure, from Alexandria via LeMat-Bulk.

* total magnetization: 0.000 μB per cell
* crystal system: trigonal
* energy: -4.3223 eV/atom
* mass density: 4.92 g/cm3

a = 9.367 Å, b = 9.367 Å, c = 9.367 Å
α = 34.86°, β = 34.86°, γ = 34.86°
Positions (direct):
Sm (0.142, 0.142, 0.142)
Sm (0.858, 0.858, 0.858)
Er (0.000, 0.000, 0.000)
Al (0.075, 0.586, 0.586)
Al (0.335, 0.335, 0.335)
Al (0.414, 0.414, 0.925)
Al (0.414, 0.925, 0.414)
Al (0.500, 0.500, 0.500)
Al (0.586, 0.075, 0.586)
Al (0.586, 0.586, 0.075)
Al (0.665, 0.665, 0.665)
Al (0.925, 0.414, 0.414)

=====

The following is a PBE-GGA calculation of a geometry-optimized SmEr4Al structure, from Alexandria via LeMat-Bulk.

* total magnetization: 0.000 μB per cell
* crystal system: tetragonal
* energy: -4.5738 eV/atom
* mass density: 8.15 g/cm3

a = 3.523 Å, b = 3.523 Å, c = 13.898 Å
α = 90.00°, β = 90.00°, γ = 90.00°
Positions (direct):
Sm (0.000, 0.000, 0.000)
Er (0.000, 0.000, 0.365)
Er (0.000, 0.000, 0.635)
Er (0.500, 0.500, 0.183)
Er (0.500, 0.500, 0.817)
Al (0.500, 0.500, 0.500)

=====

The following is a PBE-GGA calculation of a geometry-optimized Sm3Er12Al structure, from Alexandria via LeMat-Bulk.

* total magnetization: 0.008 μB per cell
* crystal system: tetragonal
* energy: -4.5560 eV/atom
* mass density: 8.58 g/cm3

a = 4.916 Å, b = 4.916 Å, c = 19.903 Å
α = 90.00°, β = 90.00°, γ = 90.00°
Positions (direct):
Sm (0.000, 0.000, 0.000)
Sm (0.000, 0.000, 0.254)
Sm (0.000, 0.000, 0.746)
Er (0.000, 0.500, 0.128)
Er (0.000, 0.500, 0.384)
Er (0.000, 0.500, 0.616)
Er (0.000, 0.500, 0.872)
Er (0.500, 0.000, 0.128)
Er (0.500, 0.000, 0.384)
Er (0.500, 0.000, 0.616)
Er (0.500, 0.000, 0.872)
Er (0.500, 0.500, 0.000)
Er (0.500, 0.500, 0.258)
Er (0.500, 0.500, 0.500)
Er (0.500, 0.500, 0.742)
Al (0.000, 0.000, 0.500)

=====

The following is a PBE-GGA calculation of a geometry-optimized SmEr3Al structure, from Alexandria via LeMat-Bulk.

* total magnetization: 0.952 μB per cell
* crystal system: monoclinic
* energy: -4.5719 eV/atom
* mass density: 7.90 g/cm3

a = 6.688 Å, b = 6.688 Å, c = 12.420 Å
α = 94.57°, β = 94.57°, γ = 31.06°
Positions (direct):
Sm (0.225, 0.225, 0.247)
Sm (0.775, 0.775, 0.753)
Er (0.032, 0.032, 0.694)
Er (0.141, 0.141, 0.951)
Er (0.365, 0.365, 0.518)
Er (0.635, 0.635, 0.482)
Er (0.859, 0.859, 0.049)
Er (0.968, 0.968, 0.306)
Al (0.453, 0.453, 0.880)
Al (0.547, 0.547, 0.120)

=====

The following is a PBE-GGA calculation of a geometry-optimized Sm6Er12Al structure, from Alexandria via LeMat-Bulk.

* total magnetization: 0.000 μB per cell
* crystal system: trigonal
* energy: -4.4780 eV/atom
* mass density: 8.22 g/cm3

a = 8.403 Å, b = 8.403 Å, c = 8.403 Å
α = 88.99°, β = 88.99°, γ = 88.99°
Positions (direct):
Sm (0.201, 0.758, 0.592)
Sm (0.242, 0.408, 0.799)
Sm (0.408, 0.799, 0.242)
Sm (0.592, 0.201, 0.758)
Sm (0.758, 0.592, 0.201)
Sm (0.799, 0.242, 0.408)
Er (0.038, 0.937, 0.279)
Er (0.063, 0.721, 0.962)
Er (0.143, 0.485, 0.314)
Er (0.279, 0.038, 0.937)
Er (0.314, 0.143, 0.485)
Er (0.485, 0.314, 0.143)
Er (0.515, 0.686, 0.857)
Er (0.686, 0.857, 0.515)
Er (0.721, 0.962, 0.063)
Er (0.857, 0.515, 0.686)
Er (0.937, 0.279, 0.038)
Er (0.962, 0.063, 0.721)
Al (0.500, 0.500, 0.500)

=====

The following is a PBE-GGA calculation of a geometry-optimized Sm2ErAl2 structure, from Alexandria via LeMat-Bulk.

* total magnetization: 0.000 μB per cell
* crystal system: orthorhombic
* energy: -4.6114 eV/atom
* mass density: 6.53 g/cm3

a = 4.870 Å, b = 6.730 Å, c = 8.095 Å
α = 90.00°, β = 90.00°, γ = 90.00°
Positions (direct):
Sm (0.000, 0.000, 0.197)
Sm (0.000, 0.000, 0.803)
Sm (0.500, 0.500, 0.303)
Sm (0.500, 0.500, 0.697)
Er (0.000, 0.500, 0.000)
Er (0.500, 0.000, 0.500)
Al (0.000, 0.301, 0.500)
Al (0.000, 0.699, 0.500)
Al (0.500, 0.199, 0.000)
Al (0.500, 0.801, 0.000)

=====

The following is a PBE-GGA calculation of a geometry-optimized Sm8Er2Al structure, from Alexandria via LeMat-Bulk.

* total magnetization: 0.001 μB per cell
* crystal system: monoclinic
* energy: -4.5684 eV/atom
* mass density: 7.33 g/cm3

a = 9.270 Å, b = 9.270 Å, c = 7.954 Å
α = 111.79°, β = 111.79°, γ = 34.24°
Positions (direct):
Sm (0.012, 0.012, 0.262)
Sm (0.177, 0.177, 0.716)
Sm (0.342, 0.342, 0.592)
Sm (0.389, 0.389, 0.079)
Sm (0.611, 0.611, 0.921)
Sm (0.658, 0.658, 0.408)
Sm (0.823, 0.823, 0.284)
Sm (0.988, 0.988, 0.738)
Er (0.192, 0.192, 0.159)
Er (0.808, 0.808, 0.841)
Al (0.500, 0.500, 0.500)

=====

The following is a PBE-GGA calculation of a geometry-optimized Sm2ErAl6 structure, from Alexandria via LeMat-Bulk.

* total magnetization: 0.000 μB per cell
* crystal system: orthorhombic
* energy: -4.2549 eV/atom
* mass density: 4.84 g/cm3

a = 8.025 Å, b = 8.025 Å, c = 8.025 Å
α = 148.02°, β = 127.10°, γ = 63.17°
Positions (direct):
Sm (0.124, 0.124, 0.000)
Sm (0.876, 0.876, 0.000)
Er (0.500, 0.000, 0.500)
Al (0.125, 0.316, 0.809)
Al (0.193, 0.500, 0.693)
Al (0.492, 0.684, 0.809)
Al (0.508, 0.316, 0.191)
Al (0.807, 0.500, 0.307)
Al (0.875, 0.684, 0.191)

=====

The following is a PBE-GGA calculation of a geometry-optimized Sm3Er2Al4 structure, from Alexandria via LeMat-Bulk.

* total magnetization: 0.000 μB per cell
* crystal system: trigonal
* energy: -4.5709 eV/atom
* mass density: 6.56 g/cm3

a = 5.164 Å, b = 5.164 Å, c = 9.791 Å
α = 90.00°, β = 90.00°, γ = 120.00°
Positions (direct):
Sm (0.000, 0.000, 0.000)
Sm (0.333, 0.667, 0.584)
Sm (0.667, 0.333, 0.416)
Er (0.333, 0.667, 0.218)
Er (0.667, 0.333, 0.782)
Al (0.000, 0.000, 0.350)
Al (0.000, 0.000, 0.650)
Al (0.333, 0.667, 0.902)
Al (0.667, 0.333, 0.098)

=====

The following is a PBE-GGA calculation of a geometry-optimized Sm4ErAl structure, from Alexandria via LeMat-Bulk.

* total magnetization: 0.000 μB per cell
* crystal system: monoclinic
* energy: -4.5565 eV/atom
* mass density: 7.13 g/cm3

a = 8.289 Å, b = 8.289 Å, c = 6.322 Å
α = 100.12°, β = 100.12°, γ = 115.46°
Positions (direct):
Sm (0.085, 0.716, 0.954)
Sm (0.167, 0.395, 0.625)
Sm (0.284, 0.915, 0.546)
Sm (0.395, 0.167, 0.125)
Sm (0.605, 0.833, 0.875)
Sm (0.716, 0.085, 0.454)
Sm (0.833, 0.605, 0.375)
Sm (0.915, 0.284, 0.046)
Er (0.409, 0.591, 0.250)
Er (0.591, 0.409, 0.750)
Al (0.000, 0.000, 0.250)
Al (0.000, 0.000, 0.750)

=====

The following is a PBE-GGA calculation of a geometry-optimized Sm4Er3Al4 structure, from Alexandria via LeMat-Bulk.

* total magnetization: 0.000 μB per cell
* crystal system: orthorhombic
* energy: -4.5456 eV/atom
* mass density: 6.72 g/cm3

a = 10.520 Å, b = 10.520 Å, c = 10.520 Å
α = 160.79°, β = 128.34°, γ = 55.62°
Positions (direct):
Sm (0.015, 0.836, 0.179)
Sm (0.343, 0.164, 0.179)
Sm (0.657, 0.836, 0.821)
Sm (0.985, 0.164, 0.821)
Er (0.000, 0.500, 0.500)
Er (0.406, 0.406, 0.000)
Er (0.594, 0.594, 0.000)
Al (0.275, 0.775, 0.500)
Al (0.280, 0.000, 0.280)
Al (0.720, 0.000, 0.720)
Al (0.725, 0.225, 0.500)

=====

The following is a PBE-GGA calculation of a geometry-optimized SmEr5Al6 structure, from Alexandria via LeMat-Bulk.

* total magnetization: 0.001 μB per cell
* crystal system: orthorhombic
* energy: -4.5557 eV/atom
* mass density: 6.90 g/cm3

a = 8.018 Å, b = 8.018 Å, c = 7.175 Å
α = 90.00°, β = 90.00°, γ = 143.17°
Positions (direct):
Sm (0.000, 0.000, 0.000)
Er (0.000, 0.000, 0.500)
Er (0.332, 0.668, 0.000)
Er (0.335, 0.665, 0.500)
Er (0.665, 0.335, 0.500)
Er (0.668, 0.332, 0.000)
Al (0.169, 0.831, 0.255)
Al (0.169, 0.831, 0.745)
Al (0.500, 0.500, 0.253)
Al (0.500, 0.500, 0.747)
Al (0.831, 0.169, 0.255)
Al (0.831, 0.169, 0.745)

=====

The following is a PBE-GGA calculation of a geometry-optimized Sm2ErAl structure, from Alexandria via LeMat-Bulk.

* total magnetization: 0.000 μB per cell
* crystal system: orthorhombic
* energy: -4.5927 eV/atom
* mass density: 7.15 g/cm3

a = 3.803 Å, b = 5.236 Å, c = 11.544 Å
α = 90.00°, β = 90.00°, γ = 90.00°
Positions (direct):
Sm (0.000, 0.000, 0.214)
Sm (0.000, 0.000, 0.786)
Sm (0.500, 0.500, 0.286)
Sm (0.500, 0.500, 0.714)
Er (0.000, 0.500, 0.000)
Er (0.500, 0.000, 0.500)
Al (0.000, 0.500, 0.500)
Al (0.500, 0.000, 0.000)

=====

The following is a PBE-GGA calculation of a geometry-optimized SmErAl3 structure, from Alexandria via LeMat-Bulk.

* total magnetization: 0.621 μB per cell
* crystal system: orthorhombic
* energy: -4.5514 eV/atom
* mass density: 5.83 g/cm3

a = 13.912 Å, b = 13.912 Å, c = 4.549 Å
α = 90.00°, β = 90.00°, γ = 165.06°
Positions (direct):
Sm (0.073, 0.927, 0.750)
Sm (0.927, 0.073, 0.250)
Er (0.212, 0.788, 0.250)
Er (0.788, 0.212, 0.750)
Al (0.327, 0.673, 0.250)
Al (0.379, 0.621, 0.750)
Al (0.476, 0.524, 0.750)
Al (0.524, 0.476, 0.250)
Al (0.621, 0.379, 0.250)
Al (0.673, 0.327, 0.750)

=====

The following is a PBE-GGA calculation of a geometry-optimized Sm4ErAl4 structure, from Alexandria via LeMat-Bulk.

* total magnetization: 0.000 μB per cell
* crystal system: tetragonal
* energy: -4.4257 eV/atom
* mass density: 6.23 g/cm3

a = 8.844 Å, b = 8.844 Å, c = 5.973 Å
α = 90.00°, β = 90.00°, γ = 90.00°
Positions (direct):
Sm (0.079, 0.824, 0.127)
Sm (0.176, 0.579, 0.627)
Sm (0.324, 0.921, 0.627)
Sm (0.421, 0.676, 0.127)
Sm (0.579, 0.324, 0.873)
Sm (0.676, 0.079, 0.373)
Sm (0.824, 0.421, 0.373)
Sm (0.921, 0.176, 0.873)
Er (0.250, 0.250, 0.750)
Er (0.750, 0.750, 0.250)
Al (0.061, 0.158, 0.355)
Al (0.158, 0.439, 0.145)
Al (0.342, 0.061, 0.145)
Al (0.439, 0.342, 0.355)
Al (0.561, 0.658, 0.645)
Al (0.658, 0.939, 0.855)
Al (0.842, 0.561, 0.855)
Al (0.939, 0.842, 0.645)

=====

The following is a PBE-GGA calculation of a geometry-optimized Sm6Er2Al structure, from Alexandria via LeMat-Bulk.

* total magnetization: 0.012 μB per cell
* crystal system: orthorhombic
* energy: -4.5895 eV/atom
* mass density: 7.42 g/cm3

a = 10.216 Å, b = 10.240 Å, c = 5.406 Å
α = 90.00°, β = 90.00°, γ = 90.00°
Positions (direct):
Sm (0.039, 0.187, 0.000)
Sm (0.124, 0.622, 0.500)
Sm (0.187, 0.957, 0.500)
Sm (0.313, 0.457, 0.000)
Sm (0.376, 0.122, 0.000)
Sm (0.461, 0.687, 0.500)
Sm (0.539, 0.313, 0.500)
Sm (0.624, 0.878, 0.000)
Sm (0.687, 0.543, 0.000)
Sm (0.813, 0.043, 0.500)
Sm (0.876, 0.378, 0.500)
Sm (0.961, 0.813, 0.000)
Er (0.213, 0.283, 0.500)
Er (0.287, 0.783, 0.000)
Er (0.713, 0.217, 0.000)
Er (0.787, 0.717, 0.500)
Al (0.000, 0.500, 0.000)
Al (0.500, 0.000, 0.500)

=====

The following is a PBE-GGA calculation of a geometry-optimized Sm2ErAl structure, from Alexandria via LeMat-Bulk.

* total magnetization: 0.009 μB per cell
* crystal system: cubic
* energy: -4.5014 eV/atom
* mass density: 7.38 g/cm3

a = 7.637 Å, b = 7.637 Å, c = 7.637 Å
α = 90.00°, β = 90.00°, γ = 90.00°
Positions (direct):
Sm (0.250, 0.250, 0.250)
Sm (0.250, 0.250, 0.750)
Sm (0.250, 0.750, 0.250)
Sm (0.250, 0.750, 0.750)
Sm (0.750, 0.250, 0.250)
Sm (0.750, 0.250, 0.750)
Sm (0.750, 0.750, 0.250)
Sm (0.750, 0.750, 0.750)
Er (0.000, 0.000, 0.000)
Er (0.000, 0.500, 0.500)
Er (0.500, 0.000, 0.500)
Er (0.500, 0.500, 0.000)
Al (0.000, 0.000, 0.500)
Al (0.000, 0.500, 0.000)
Al (0.500, 0.000, 0.000)
Al (0.500, 0.500, 0.500)

=====

The following is a PBE-GGA calculation of a geometry-optimized Sm3ErAl8 structure, from Alexandria via LeMat-Bulk.

* total magnetization: 0.000 μB per cell
* crystal system: trigonal
* energy: -4.5631 eV/atom
* mass density: 5.54 g/cm3

a = 9.748 Å, b = 9.748 Å, c = 9.748 Å
α = 33.42°, β = 33.42°, γ = 33.42°
Positions (direct):
Sm (0.000, 0.000, 0.000)
Sm (0.125, 0.125, 0.125)
Sm (0.625, 0.625, 0.625)
Er (0.500, 0.500, 0.500)
Al (0.062, 0.062, 0.562)
Al (0.062, 0.562, 0.062)
Al (0.064, 0.563, 0.563)
Al (0.312, 0.312, 0.312)
Al (0.562, 0.062, 0.062)
Al (0.563, 0.064, 0.563)
Al (0.563, 0.563, 0.064)
Al (0.813, 0.813, 0.813)